## a
Pm3Nd6Sc after structural relaxation. Source: the Alexandria database, functional PBE.

Output
- Theoretical density: 6.5 g/cm3
- Magnetic moment: 0.00 μB/cell

CIF file:
```
data_Pm3Nd6Sc
_cell_length_a 10.0112
_cell_length_b 10.0112
_cell_length_c 11.8740
_cell_angle_alpha 90.00
_cell_angle_beta 90.00
_cell_angle_gamma 120.00
_space_group_name_H-M_alt 'R -3'
_space_group_IT_number 148
_space_group_name_Hall '-R 3'
loop_
_atom_site_label
_atom_site_type_symbol
_atom_site_fract_x
_atom_site_fract_y
_atom_site_fract_z
_atom_site_occupancy
Pm1 Pm 0.0000 0.0000 0.0000 1
Pm2 Pm 0.0000 0.0000 0.2545 1
Nd1 Nd 0.0001 0.3390 0.0843 1
Sc1 Sc 0.0000 0.0000 0.5000 1
```

=====

## b
Pm3Nd6Sc after structural relaxation. Source: the Alexandria database, functional PBE.

Output
- Theoretical density: 6.5 g/cm3
- Magnetic moment: 0.00 μB/cell

CIF file:
```
data_Pm3Nd6Sc
_cell_length_a 11.020
_cell_length_b 19.296
_cell_length_c 6.438
_cell_angle_alpha 90.00
_cell_angle_beta 90.00
_cell_angle_gamma 90.00
_space_group_name_H-M_alt 'C m c 21'
_space_group_IT_number 36
loop_
_space_group_symop_operation_xyz
'x,y,z'
'-x,-y,z+1/2'
'-x,y,z'
'x,-y,z+1/2'
'x+1/2,y+1/2,z'
'-x+1/2,-y+1/2,z+1/2'
'-x+1/2,y+1/2,z'
'x+1/2,-y+1/2,z+1/2'
loop_
_atom_site_label
_atom_site_type_symbol
_atom_site_fract_x
_atom_site_fract_y
_atom_site_fract_z
_atom_site_occupancy
Pm1 Pm 0.000 0.117 0.000 1
Pm2 Pm 0.170 0.384 0.378 1
Nd1 Nd 0.000 0.223 0.569 1
Nd2 Nd 0.000 0.460 0.805 1
Nd3 Nd 0.168 0.042 0.479 1
Nd4 Nd 0.238 0.209 0.290 1
Sc1 Sc 0.000 0.303 0.041 1
```

=====

Sorted by energy, starting with the most stable: b, a.

=====

## a
PmNdSc4 after structural relaxation. Source: the Alexandria database, functional PBE.

Output
- Theoretical density: 4.7 g/cm3
- Magnetic moment: 0.01 μB/cell

CIF file:
```
data_PmNdSc4
_cell_length_a 5.379
_cell_length_b 10.269
_cell_length_c 6.043
_cell_angle_alpha 90.00
_cell_angle_beta 90.00
_cell_angle_gamma 90.00
_space_group_name_H-M_alt 'P m m n'
_space_group_IT_number 59
loop_
_space_group_symop_operation_xyz
'x,y,z'
'-x,-y,-z'
'-x+1/2,-y+1/2,z'
'x+1/2,y+1/2,-z'
'x+1/2,-y,-z'
'-x+1/2,y,z'
'-x,y+1/2,-z'
'x,-y+1/2,z'
loop_
_atom_site_label
_atom_site_type_symbol
_atom_site_fract_x
_atom_site_fract_y
_atom_site_fract_z
_atom_site_occupancy
Pm1 Pm 0.250 0.250 0.073 1
Nd1 Nd 0.250 0.750 0.573 1
Sc1 Sc 0.250 0.078 0.593 1
Sc2 Sc 0.250 0.578 0.093 1
```

=====

## b
PmNdSc4 after structural relaxation. Source: the Alexandria database, functional PBE.

Output
- Theoretical density: 4.7 g/cm3
- Magnetic moment: 0.00 μB/cell

CIF file:
```
data_PmNdSc4
_cell_length_a 6.601
_cell_length_b 18.683
_cell_length_c 5.391
_cell_angle_alpha 90.00
_cell_angle_beta 90.00
_cell_angle_gamma 90.00
_space_group_name_H-M_alt 'C m c m'
_space_group_IT_number 63
_space_group_name_Hall '-C 2c 2'
loop_
_atom_site_label
_atom_site_type_symbol
_atom_site_fract_x
_atom_site_fract_y
_atom_site_fract_z
_atom_site_occupancy
Pm1 Pm 0.000 0.126 0.250 1
Nd1 Nd 0.000 0.376 0.750 1
Sc1 Sc 0.249 0.042 0.750 1
Sc2 Sc 0.250 0.208 0.750 1
```

=====

Sorted by energy, starting with the most stable: a, b.

=====

## a
Pm5Nd4Sc2 after structural relaxation. Source: the Alexandria database, functional PBE.

Output
- Theoretical density: 6.1 g/cm3
- Magnetic moment: 0.00 μB/cell

CIF file:
```
data_Pm5Nd4Sc2
_cell_length_a 3.487
_cell_length_b 9.593
_cell_length_c 22.484
_cell_angle_alpha 90.00
_cell_angle_beta 90.00
_cell_angle_gamma 90.00
_space_group_name_H-M_alt 'I m m m'
_space_group_IT_number 71
_space_group_name_Hall '-I 2 2'
loop_
_atom_site_label
_atom_site_type_symbol
_atom_site_fract_x
_atom_site_fract_y
_atom_site_fract_z
_atom_site_occupancy
Pm1 Pm 0.000 0.000 0.000 1
Pm2 Pm 0.000 0.287 0.342 1
Nd1 Nd 0.000 0.205 0.500 1
Nd2 Nd 0.000 0.500 0.098 1
Sc1 Sc 0.000 0.500 0.231 1
```

=====

## b
Pm5Nd4Sc2 after structural relaxation. Source: the Alexandria database, functional PBE.

Output
- Theoretical density: 6.3 g/cm3
- Magnetic moment: 0.00 μB/cell

CIF file:
```
data_Pm5Nd4Sc2
_cell_length_a 23.953
_cell_length_b 3.538
_cell_length_c 8.697
_cell_angle_alpha 90.00
_cell_angle_beta 94.49
_cell_angle_gamma 90.00
_space_group_name_H-M_alt 'C 1 2/m 1'
_space_group_IT_number 12
loop_
_space_group_symop_operation_xyz
'x,y,z'
'-x,-y,-z'
'-x,y,-z'
'x,-y,z'
'x+1/2,y+1/2,z'
'-x+1/2,-y+1/2,-z'
'-x+1/2,y+1/2,-z'
'x+1/2,-y+1/2,z'
loop_
_atom_site_label
_atom_site_type_symbol
_atom_site_fract_x
_atom_site_fract_y
_atom_site_fract_z
_atom_site_occupancy
Pm1 Pm 0.000 0.000 0.000 1
Pm2 Pm 0.129 0.500 0.039 1
Pm3 Pm 0.181 0.500 0.477 1
Nd1 Nd 0.038 0.500 0.349 1
Nd2 Nd 0.226 0.000 0.824 1
Sc1 Sc 0.087 0.000 0.697 1
```

=====

Sorted by energy, starting with the most stable: b, a.

=====

## a
Pm2Nd4Sc after structural relaxation. Source: the Alexandria database, functional PBE.

Output
- Theoretical density: 6.3 g/cm3
- Magnetic moment: 0.00 μB/cell

CIF file:
```
data_Pm2Nd4Sc
_cell_length_a 6.158
_cell_length_b 13.027
_cell_length_c 5.972
_cell_angle_alpha 90.00
_cell_angle_beta 90.00
_cell_angle_gamma 90.00
_space_group_name_H-M_alt 'C m m m'
_space_group_IT_number 65
_space_group_name_Hall '-C 2 2'
loop_
_atom_site_label
_atom_site_type_symbol
_atom_site_fract_x
_atom_site_fract_y
_atom_site_fract_z
_atom_site_occupancy
Pm1 Pm 0.000 0.109 0.000 1
Nd1 Nd 0.000 0.189 0.500 1
Nd2 Nd 0.000 0.365 0.000 1
Sc1 Sc 0.000 0.500 0.500 1
```

=====

## b
Pm2Nd4Sc after structural relaxation. Source: the Alexandria database, functional PBE.

Output
- Theoretical density: 6.5 g/cm3
- Magnetic moment: 0.00 μB/cell

CIF file:
```
data_Pm2Nd4Sc
_cell_length_a 6.253
_cell_length_b 8.080
_cell_length_c 9.553
_cell_angle_alpha 89.89
_cell_angle_beta 89.86
_cell_angle_gamma 75.10
_space_group_name_H-M_alt 'P 1'
_space_group_IT_number 1
loop_
_space_group_symop_operation_xyz
'x,y,z'
loop_
_atom_site_label
_atom_site_type_symbol
_atom_site_fract_x
_atom_site_fract_y
_atom_site_fract_z
_atom_site_occupancy
Pm1 Pm 0.000 0.000 0.000 1
Pm2 Pm 0.000 0.500 0.500 1
Pm3 Pm 0.428 0.210 0.929 1
Pm4 Pm 0.856 0.931 0.358 1
Nd1 Nd 0.144 0.069 0.641 1
Nd2 Nd 0.145 0.565 0.145 1
Nd3 Nd 0.285 0.647 0.784 1
Nd4 Nd 0.432 0.721 0.429 1
Nd5 Nd 0.568 0.279 0.570 1
Nd6 Nd 0.572 0.790 0.071 1
Nd7 Nd 0.715 0.352 0.216 1
Nd8 Nd 0.855 0.435 0.854 1
Sc1 Sc 0.285 0.141 0.285 1
Sc2 Sc 0.715 0.858 0.714 1
```

=====

Sorted by energy, starting with the most stable: b, a.

=====

## a
Pm7Nd12Sc after structural relaxation. Source: the Alexandria database, functional PBE.

Output
- Theoretical density: 6.5 g/cm3
- Magnetic moment: 0.00 μB/cell

CIF file:
```
data_Pm7Nd12Sc
_cell_length_a 18.9785
_cell_length_b 18.9785
_cell_length_c 6.8663
_cell_angle_alpha 90.00
_cell_angle_beta 90.00
_cell_angle_gamma 120.00
_space_group_name_H-M_alt 'R -3'
_space_group_IT_number 148
_space_group_name_Hall '-R 3'
loop_
_atom_site_label
_atom_site_type_symbol
_atom_site_fract_x
_atom_site_fract_y
_atom_site_fract_z
_atom_site_occupancy
Pm1 Pm 0.0000 0.0000 0.0000 1
Pm2 Pm 0.0068 0.8544 0.2913 1
Nd1 Nd 0.0011 0.2128 0.2015 1
Nd2 Nd 0.0077 0.4683 0.2412 1
Sc1 Sc 0.0000 0.0000 0.5000 1
```

=====

## b
Pm7Nd12Sc after structural relaxation. Source: the Alexandria database, functional PBE.

Output
- Theoretical density: 6.7 g/cm3
- Magnetic moment: 0.00 μB/cell

CIF file:
```
data_Pm7Nd12Sc
_cell_length_a 15.3084
_cell_length_b 15.3084
_cell_length_c 10.1592
_cell_angle_alpha 90.00
_cell_angle_beta 90.00
_cell_angle_gamma 120.00
_space_group_name_H-M_alt 'R -3'
_space_group_IT_number 148
_space_group_name_Hall '-R 3'
loop_
_atom_site_label
_atom_site_type_symbol
_atom_site_fract_x
_atom_site_fract_y
_atom_site_fract_z
_atom_site_occupancy
Pm1 Pm 0.0000 0.0000 0.0000 1
Pm2 Pm 0.0680 0.8107 0.4323 1
Nd1 Nd 0.0188 0.7725 0.0509 1
Nd2 Nd 0.0500 0.8684 0.7370 1
Sc1 Sc 0.0000 0.0000 0.5000 1
```

=====

Sorted by energy, starting with the most stable: b, a.

=====

## a
Pm3Nd7Sc after structural relaxation. Source: the Alexandria database, functional PBE.

Output
- Theoretical density: 6.5 g/cm3
- Magnetic moment: 0.00 μB/cell

CIF file:
```
data_Pm3Nd7Sc
_cell_length_a 7.387
_cell_length_b 9.960
_cell_length_c 11.936
_cell_angle_alpha 104.38
_cell_angle_beta 98.91
_cell_angle_gamma 111.77
_space_group_name_H-M_alt 'P 1'
_space_group_IT_number 1
loop_
_space_group_symop_operation_xyz
'x,y,z'
loop_
_atom_site_label
_atom_site_type_symbol
_atom_site_fract_x
_atom_site_fract_y
_atom_site_fract_z
_atom_site_occupancy
Pm1 Pm 0.000 0.000 0.000 1
Pm2 Pm 0.063 0.282 0.709 1
Pm3 Pm 0.219 0.737 0.425 1
Pm4 Pm 0.392 0.504 0.562 1
Pm5 Pm 0.739 0.892 0.197 1
Pm6 Pm 0.868 0.280 0.949 1
Nd1 Nd 0.031 0.636 0.893 1
Nd2 Nd 0.140 0.931 0.709 1
Nd3 Nd 0.156 0.089 0.451 1
Nd4 Nd 0.308 0.565 0.147 1
Nd5 Nd 0.376 0.283 0.949 1
Nd6 Nd 0.460 0.292 0.278 1
Nd7 Nd 0.485 0.998 0.001 1
Nd8 Nd 0.535 0.633 0.885 1
Nd9 Nd 0.633 0.932 0.709 1
Nd10 Nd 0.644 0.086 0.450 1
Nd11 Nd 0.717 0.733 0.427 1
Nd12 Nd 0.819 0.566 0.149 1
Nd13 Nd 0.884 0.504 0.566 1
Nd14 Nd 0.966 0.302 0.282 1
Sc1 Sc 0.237 0.890 0.199 1
Sc2 Sc 0.561 0.281 0.711 1
```

=====

## b
Pm3Nd7Sc after structural relaxation. Source: the Alexandria database, functional PBE.

Output
- Theoretical density: 6.4 g/cm3
- Magnetic moment: 0.00 μB/cell

CIF file:
```
data_Pm3Nd7Sc
_cell_length_a 12.867
_cell_length_b 11.441
_cell_length_c 5.905
_cell_angle_alpha 90.00
_cell_angle_beta 117.27
_cell_angle_gamma 90.00
_space_group_name_H-M_alt 'C 1 2/m 1'
_space_group_IT_number 12
loop_
_space_group_symop_operation_xyz
'x,y,z'
'-x,-y,-z'
'-x,y,-z'
'x,-y,z'
'x+1/2,y+1/2,z'
'-x+1/2,-y+1/2,-z'
'-x+1/2,y+1/2,-z'
'x+1/2,-y+1/2,z'
loop_
_atom_site_label
_atom_site_type_symbol
_atom_site_fract_x
_atom_site_fract_y
_atom_site_fract_z
_atom_site_occupancy
Pm1 Pm 0.000 0.000 0.000 1
Pm2 Pm 0.000 0.206 0.500 1
Nd1 Nd 0.000 0.500 0.500 1
Nd2 Nd 0.192 0.210 0.192 1
Nd3 Nd 0.216 0.000 0.717 1
Sc1 Sc 0.000 0.500 0.000 1
```

=====

Sorted by energy, starting with the most stable: a, b.

=====

## a
Pm4Nd2Sc after structural relaxation. Source: the Alexandria database, functional PBE.

Output
- Theoretical density: 6.5 g/cm3
- Magnetic moment: 0.00 μB/cell

CIF file:
```
data_Pm4Nd2Sc
_cell_length_a 7.104
_cell_length_b 8.649
_cell_length_c 8.880
_cell_angle_alpha 61.09
_cell_angle_beta 89.94
_cell_angle_gamma 78.22
_space_group_name_H-M_alt 'P 1'
_space_group_IT_number 1
loop_
_space_group_symop_operation_xyz
'x,y,z'
loop_
_atom_site_label
_atom_site_type_symbol
_atom_site_fract_x
_atom_site_fract_y
_atom_site_fract_z
_atom_site_occupancy
Pm1 Pm 0.000 0.000 0.000 1
Pm2 Pm 0.029 0.881 0.446 1
Pm3 Pm 0.139 0.438 0.720 1
Pm4 Pm 0.321 0.713 0.863 1
Pm5 Pm 0.496 0.001 0.997 1
Pm6 Pm 0.639 0.438 0.721 1
Pm7 Pm 0.710 0.152 0.584 1
Pm8 Pm 0.852 0.586 0.299 1
Nd1 Nd 0.170 0.312 0.144 1
Nd2 Nd 0.211 0.164 0.574 1
Nd3 Nd 0.529 0.882 0.442 1
Nd4 Nd 0.672 0.307 0.149 1
Sc1 Sc 0.354 0.579 0.314 1
Sc2 Sc 0.821 0.707 0.855 1
```

=====

## b
Pm4Nd2Sc after structural relaxation. Source: the Alexandria database, functional PBE.

Output
- Theoretical density: 6.4 g/cm3
- Magnetic moment: 0.00 μB/cell

CIF file:
```
data_Pm4Nd2Sc
_cell_length_a 6.124
_cell_length_b 13.021
_cell_length_c 5.941
_cell_angle_alpha 90.00
_cell_angle_beta 90.00
_cell_angle_gamma 90.00
_space_group_name_H-M_alt 'C m m m'
_space_group_IT_number 65
_space_group_name_Hall '-C 2 2'
loop_
_atom_site_label
_atom_site_type_symbol
_atom_site_fract_x
_atom_site_fract_y
_atom_site_fract_z
_atom_site_occupancy
Pm1 Pm 0.000 0.135 0.000 1
Pm2 Pm 0.000 0.310 0.500 1
Nd1 Nd 0.000 0.391 0.000 1
Sc1 Sc 0.000 0.000 0.500 1
```

=====

Sorted by energy, starting with the most stable: a, b.

=====

## a
Pm7Nd3Sc after structural relaxation. Source: the Alexandria database, functional PBE.

Output
- Theoretical density: 6.5 g/cm3
- Magnetic moment: 0.22 μB/cell

CIF file:
```
data_Pm7Nd3Sc
_cell_length_a 12.808
_cell_length_b 11.403
_cell_length_c 5.890
_cell_angle_alpha 90.00
_cell_angle_beta 117.29
_cell_angle_gamma 90.00
_space_group_name_H-M_alt 'C 1 2/m 1'
_space_group_IT_number 12
loop_
_space_group_symop_operation_xyz
'x,y,z'
'-x,-y,-z'
'-x,y,-z'
'x,-y,z'
'x+1/2,y+1/2,z'
'-x+1/2,-y+1/2,-z'
'-x+1/2,y+1/2,-z'
'x+1/2,-y+1/2,z'
loop_
_atom_site_label
_atom_site_type_symbol
_atom_site_fract_x
_atom_site_fract_y
_atom_site_fract_z
_atom_site_occupancy
Pm1 Pm 0.000 0.000 0.000 1
Pm2 Pm 0.193 0.291 0.694 1
Pm3 Pm 0.215 0.500 0.216 1
Nd1 Nd 0.000 0.292 0.000 1
Nd2 Nd 0.000 0.500 0.500 1
Sc1 Sc 0.000 0.000 0.500 1
```

=====

## b
Pm7Nd3Sc after structural relaxation. Source: the Alexandria database, functional PBE.

Output
- Theoretical density: 6.3 g/cm3
- Magnetic moment: 0.00 μB/cell

CIF file:
```
data_Pm7Nd3Sc
_cell_length_a 19.379
_cell_length_b 7.141
_cell_length_c 12.716
_cell_angle_alpha 90.00
_cell_angle_beta 117.27
_cell_angle_gamma 90.00
_space_group_name_H-M_alt 'C 1 2/c 1'
_space_group_IT_number 15
loop_
_space_group_symop_operation_xyz
'x,y,z'
'-x,-y,-z'
'-x,y,-z+1/2'
'x,-y,z+1/2'
'x+1/2,y+1/2,z'
'-x+1/2,-y+1/2,-z'
'-x+1/2,y+1/2,-z+1/2'
'x+1/2,-y+1/2,z+1/2'
loop_
_atom_site_label
_atom_site_type_symbol
_atom_site_fract_x
_atom_site_fract_y
_atom_site_fract_z
_atom_site_occupancy
Pm1 Pm 0.000 0.185 0.250 1
Pm2 Pm 0.159 0.497 0.275 1
Pm3 Pm 0.163 0.240 0.021 1
Pm4 Pm 0.167 0.249 0.527 1
Nd1 Nd 0.000 0.500 0.000 1
Nd2 Nd 0.171 0.005 0.770 1
Sc1 Sc 0.000 0.000 0.000 1
```

=====

Sorted by energy, starting with the most stable: b, a.